Computed, not measured: a geometry-optimized Tb3Pb5Se12 structure at the GGA-PBE level of DFT.

Unit cell a=14.758 b=14.758 c=14.758 alpha=109.47 beta=109.47 gamma=109.47
Atoms (fractional coordinates):
Tb  0.125  0.250  0.375
Tb  0.125  0.375  0.750
Tb  0.250  0.375  0.125
Tb  0.250  0.875  0.625
Tb  0.375  0.125  0.250
Tb  0.375  0.750  0.125
Tb  0.625  0.250  0.875
Tb  0.625  0.875  0.750
Tb  0.750  0.125  0.375
Tb  0.750  0.625  0.875
Tb  0.875  0.625  0.250
Tb  0.875  0.750  0.625
Pb  0.000  0.000  0.000
Pb  0.000  0.000  0.500
Pb  0.000  0.500  0.000
Pb  0.000  0.500  0.500
Pb  0.125  0.750  0.875
Pb  0.125  0.875  0.250
Pb  0.250  0.125  0.875
Pb  0.250  0.625  0.375
Pb  0.375  0.250  0.625
Pb  0.375  0.625  0.750
Pb  0.500  0.000  0.000
Pb  0.500  0.000  0.500
Pb  0.500  0.500  0.000
Pb  0.500  0.500  0.500
Pb  0.625  0.375  0.250
Pb  0.625  0.750  0.375
Pb  0.750  0.375  0.625
Pb  0.750  0.875  0.125
Pb  0.875  0.125  0.750
Pb  0.875  0.250  0.125
Se  0.059  0.229  0.144
Se  0.059  0.330  0.916
Se  0.084  0.644  0.414
Se  0.084  0.941  0.670
Se  0.086  0.729  0.670
Se  0.086  0.856  0.416
Se  0.144  0.059  0.229
Se  0.144  0.584  0.914
Se  0.170  0.229  0.586
Se  0.170  0.441  0.584
Se  0.229  0.144  0.059
Se  0.229  0.586  0.170
Se  0.271  0.330  0.914
Se  0.271  0.441  0.356
Se  0.330  0.914  0.271
Se  0.330  0.916  0.059
Se  0.356  0.271  0.441
Se  0.356  0.586  0.916
Se  0.414  0.084  0.644
Se  0.414  0.830  0.771
Se  0.416  0.086  0.856
Se  0.416  0.830  0.559
Se  0.441  0.356  0.271
Se  0.441  0.584  0.170
Se  0.559  0.416  0.830
Se  0.559  0.644  0.729
Se  0.584  0.170  0.441
Se  0.584  0.914  0.144
Se  0.586  0.170  0.229
Se  0.586  0.916  0.356
Se  0.644  0.414  0.084
Se  0.644  0.729  0.559
Se  0.670  0.084  0.941
Se  0.670  0.086  0.729
Se  0.729  0.559  0.644
Se  0.729  0.670  0.086
Se  0.771  0.414  0.830
Se  0.771  0.856  0.941
Se  0.830  0.559  0.416
Se  0.830  0.771  0.414
Se  0.856  0.416  0.086
Se  0.856  0.941  0.771
Se  0.914  0.144  0.584
Se  0.914  0.271  0.330
Se  0.916  0.059  0.330
Se  0.916  0.356  0.586
Se  0.941  0.670  0.084
Se  0.941  0.771  0.856

Calculated values
Size of the total moment (μB/cell): 0.00
Mass density (g/cm³): 6.61
E_form (uncorrected) (eV per formula unit): -15.39
Space-group type: Ia-3d (230)